Rb2LiScCl6 | PBE | relaxed Values from VASP.

```
&SYSTEM
  ibrav = 0, nat = 10, ntyp = 4
/
ATOMIC_SPECIES
Rb 85.47 Rb.upf
Li 6.94 Li.upf
Sc 44.96 Sc.upf
Cl 35.45 Cl.upf
CELL_PARAMETERS angstrom
0.0000 5.1108 5.1108
5.1108 0.0000 5.1108
5.1108 5.1108 0.0000
ATOMIC_POSITIONS crystal
Rb 0.2500 0.2500 0.2500
Rb 0.7500 0.7500 0.7500
Li 0.0000 0.0000 0.0000
Sc 0.5000 0.5000 0.5000
Cl 0.2551 0.2551 0.7449
Cl 0.2551 0.7449 0.2551
Cl 0.2551 0.7449 0.7449
Cl 0.7449 0.2551 0.2551
Cl 0.7449 0.2551 0.7449
Cl 0.7449 0.7449 0.2551
```

**Formation energy from raw total energies**: -2035 meV per atom

Mn2CrCoH | PBE | relaxed Values from VASP.

```
&SYSTEM
  ibrav = 0, nat = 5, ntyp = 4
/
ATOMIC_SPECIES
Mn 54.94 Mn.upf
Cr 52.00 Cr.upf
Co 58.93 Co.upf
H 1.01 H.upf
CELL_PARAMETERS angstrom
3.6047 0.0000 0.0000
0.0000 3.6047 0.0000
0.0000 0.0000 3.6268
ATOMIC_POSITIONS crystal
Mn 0.0000 0.5000 0.0000
Mn 0.5000 0.0000 0.0000
Cr 0.0000 0.0000 0.5000
Co 0.5000 0.5000 0.5000
H 0.0000 0.0000 0.0000
```

**Energy above the lowest structure with this stoichiometry**: 0.035 eV per atom

Repeat the first record exactly.
Rb2LiScCl6 | PBE | relaxed Values from VASP.

```
&SYSTEM
  ibrav = 0, nat = 10, ntyp = 4
/
ATOMIC_SPECIES
Rb 85.47 Rb.upf
Li 6.94 Li.upf
Sc 44.96 Sc.upf
Cl 35.45 Cl.upf
CELL_PARAMETERS angstrom
0.0000 5.1108 5.1108
5.1108 0.0000 5.1108
5.1108 5.1108 0.0000
ATOMIC_POSITIONS crystal
Rb 0.2500 0.2500 0.2500
Rb 0.7500 0.7500 0.7500
Li 0.0000 0.0000 0.0000
Sc 0.5000 0.5000 0.5000
Cl 0.2551 0.2551 0.7449
Cl 0.2551 0.7449 0.2551
Cl 0.2551 0.7449 0.7449
Cl 0.7449 0.2551 0.2551
Cl 0.7449 0.2551 0.7449
Cl 0.7449 0.7449 0.2551
```

**Formation energy from raw total energies**: -2035 meV per atom